# PBE LiAg4Pd2, relaxed
data_LiAg4Pd2
_chemical_formula_sum 'Li2 Ag8 Pd4'
_cell_length_a 6.8054
_cell_length_b 5.5312
_cell_length_c 7.1160
_cell_angle_alpha 90.00
_cell_angle_beta 117.15
_cell_angle_gamma 90.00
_space_group_name_H-M_alt 'P 1'
_space_group_IT_number 1
_space_group_name_Hall 'P 1'
loop_
_atom_site_label
_atom_site_fract_x
_atom_site_fract_y
_atom_site_fract_z
Li1 0.0575 0.2500 0.3228
Li2 0.9425 0.7500 0.6772
Ag1 0.2214 0.7500 0.0810
Ag2 0.3467 0.5015 0.7682
Ag3 0.3467 0.9985 0.7682
Ag4 0.4847 0.2500 0.4847
Ag5 0.5153 0.7500 0.5153
Ag6 0.6533 0.0015 0.2318
Ag7 0.6533 0.4985 0.2318
Ag8 0.7786 0.2500 0.9190
Pd1 0.0600 0.7500 0.3828
Pd2 0.2309 0.2500 0.0473
Pd3 0.7691 0.7500 0.9527
Pd4 0.9400 0.2500 0.6172
# SG: P2_1/m, No. 11
# ΔE to the lowest computed polymorph in meV per atom: 0.0
# Calculated density in kg/m³: 9075
# Formation energy from the elements in eV/f.u.: -0.36

# PBE Ce3PmPr4N8, relaxed
data_Ce3PmPr4N8
_chemical_formula_sum 'Ce3 Pm1 Pr4 N8'
_cell_length_a 7.2590
_cell_length_b 7.2590
_cell_length_c 7.2590
_cell_angle_alpha 59.93
_cell_angle_beta 59.93
_cell_angle_gamma 59.93
_space_group_name_H-M_alt 'P 1'
_space_group_IT_number 1
_space_group_name_Hall 'P 1'
loop_
_atom_site_label
_atom_site_fract_x
_atom_site_fract_y
_atom_site_fract_z
Ce1 0.0000 0.5000 0.5000
Ce2 0.5000 0.0000 0.5000
Ce3 0.5000 0.5000 0.0000
Pm1 0.0000 0.0000 0.0000
Pr1 0.0000 0.0000 0.5000
Pr2 0.0000 0.5000 0.0000
Pr3 0.5000 0.0000 0.0000
Pr4 0.5000 0.5000 0.5000
N1 0.2480 0.2480 0.7375
N2 0.2480 0.7375 0.2480
N3 0.2563 0.2563 0.2563
N4 0.2625 0.7520 0.7520
N5 0.7375 0.2480 0.2480
N6 0.7437 0.7437 0.7437
N7 0.7520 0.2625 0.7520
N8 0.7520 0.7520 0.2625
# SG: R-3m, No. 166
# Calculated density in kg/m³: 7631
# Raw total energy in eV for the cell shown: -130.88

# PBE Tb5Pr2Sm3, relaxed
data_Tb5Pr2Sm3
_chemical_formula_sum 'Tb10 Pr4 Sm6'
_cell_length_a 9.8042
_cell_length_b 9.8042
_cell_length_c 9.3804
_cell_angle_alpha 108.21
_cell_angle_beta 108.21
_cell_angle_gamma 113.70
_space_group_name_H-M_alt 'P 1'
_space_group_IT_number 1
_space_group_name_Hall 'P 1'
loop_
_atom_site_label
_atom_site_fract_x
_atom_site_fract_y
_atom_site_fract_z
Tb1 0.0258 0.9742 0.7500
Tb2 0.1088 0.3627 0.7264
Tb3 0.2223 0.7777 0.7500
Tb4 0.2723 0.7277 0.2500
Tb5 0.3627 0.1088 0.2264
Tb6 0.6373 0.8912 0.7736
Tb7 0.7277 0.2723 0.7500
Tb8 0.7777 0.2223 0.2500
Tb9 0.8912 0.6373 0.2736
Tb10 0.9742 0.0258 0.2500
Pr1 0.2296 0.4865 0.4556
Pr2 0.4865 0.2296 0.9556
Pr3 0.5135 0.7704 0.0444
Pr4 0.7704 0.5135 0.5444
Sm1 0.0303 0.2784 0.0477
Sm2 0.2784 0.0303 0.5477
Sm3 0.4792 0.5208 0.2500
Sm4 0.5208 0.4792 0.7500
Sm5 0.7216 0.9697 0.4523
Sm6 0.9697 0.7216 0.9523
# SG: C2/c, No. 15
# ΔE to the lowest computed polymorph in meV per atom: 0.0
# Calculated density in kg/m³: 7487
# Formation energy from the elements in eV/f.u.: 1.84

# PBE ThNi2, relaxed
data_ThNi2
_chemical_formula_sum 'Th1 Ni2'
_cell_length_a 4.1126
_cell_length_b 4.1126
_cell_length_c 3.7672
_cell_angle_alpha 90.00
_cell_angle_beta 90.00
_cell_angle_gamma 120.00
_space_group_name_H-M_alt 'P 1'
_space_group_IT_number 1
_space_group_name_Hall 'P 1'
loop_
_atom_site_label
_atom_site_fract_x
_atom_site_fract_y
_atom_site_fract_z
Th1 0.0000 0.0000 0.0000
Ni1 0.3333 0.6667 0.5000
Ni2 0.6667 0.3333 0.5000
# SG: P6/mmm, No. 191
# Calculated density in kg/m³: 10515
# Formation energy from the elements in eV/f.u.: -1.28

# PBE LiEuInSb, relaxed
data_LiEuInSb
_chemical_formula_sum 'Li1 Eu1 In1 Sb1'
_cell_length_a 5.3135
_cell_length_b 5.3135
_cell_length_c 5.3135
_cell_angle_alpha 60.00
_cell_angle_beta 60.00
_cell_angle_gamma 60.00
_space_group_name_H-M_alt 'P 1'
_space_group_IT_number 1
_space_group_name_Hall 'P 1'
loop_
_atom_site_label
_atom_site_fract_x
_atom_site_fract_y
_atom_site_fract_z
Li1 0.0000 0.0000 0.0000
Eu1 0.5000 0.5000 0.5000
In1 0.7500 0.7500 0.7500
Sb1 0.2500 0.2500 0.2500
# SG: F-43m, No. 216
# Calculated density in kg/m³: 6191
# Raw total energy in eV for the cell shown: -20.95

# PBE NpUGa2, relaxed
data_NpUGa2
_chemical_formula_sum 'Np2 U2 Ga4'
_cell_length_a 5.9448
_cell_length_b 4.6340
_cell_length_c 6.1411
_cell_angle_alpha 90.00
_cell_angle_beta 118.86
_cell_angle_gamma 90.00
_space_group_name_H-M_alt 'P 1'
_space_group_IT_number 1
_space_group_name_Hall 'P 1'
loop_
_atom_site_label
_atom_site_fract_x
_atom_site_fract_y
_atom_site_fract_z
Np1 0.2428 0.2500 0.3956
Np2 0.7572 0.7500 0.6044
U1 0.3452 0.7500 0.6207
U2 0.6548 0.2500 0.3793
Ga1 0.1668 0.2500 0.8432
Ga2 0.2859 0.7500 0.0885
Ga3 0.7141 0.2500 0.9115
Ga4 0.8332 0.7500 0.1568
# SG: P2_1/m, No. 11
# ΔE to the lowest computed polymorph in meV per atom: 0.0
# Calculated density in kg/m³: 13773
# Formation energy from the elements in eV/f.u.: -0.49

# PBE BaAcAgAu, relaxed
data_BaAcAgAu
_chemical_formula_sum 'Ba1 Ac1 Ag1 Au1'
_cell_length_a 5.6422
_cell_length_b 5.6422
_cell_length_c 5.6422
_cell_angle_alpha 60.00
_cell_angle_beta 60.00
_cell_angle_gamma 60.00
_space_group_name_H-M_alt 'P 1'
_space_group_IT_number 1
_space_group_name_Hall 'P 1'
loop_
_atom_site_label
_atom_site_fract_x
_atom_site_fract_y
_atom_site_fract_z
Ba1 0.0000 0.0000 0.0000
Ac1 0.5000 0.5000 0.5000
Ag1 0.2500 0.2500 0.2500
Au1 0.7500 0.7500 0.7500
# SG: F-43m, No. 216
# ΔE to the lowest computed polymorph in meV per atom: 51.8
# Calculated density in kg/m³: 8749
# Formation energy from the elements in eV/f.u.: -1.74

# PBE Al3CdAs, relaxed
data_Al3CdAs
_chemical_formula_sum 'Al3 Cd1 As1'
_cell_length_a 4.9879
_cell_length_b 4.9879
_cell_length_c 4.9879
_cell_angle_alpha 90.00
_cell_angle_beta 90.00
_cell_angle_gamma 90.00
_space_group_name_H-M_alt 'P 1'
_space_group_IT_number 1
_space_group_name_Hall 'P 1'
loop_
_atom_site_label
_atom_site_fract_x
_atom_site_fract_y
_atom_site_fract_z
Al1 0.0000 0.0000 0.5000
Al2 0.0000 0.5000 0.0000
Al3 0.5000 0.0000 0.0000
Cd1 0.0000 0.0000 0.0000
As1 0.5000 0.5000 0.5000
# SG: Pm-3m, No. 221
# ΔE to the lowest computed polymorph in meV per atom: 257.0
# Calculated density in kg/m³: 3590
# Formation energy from the elements in eV/f.u.: 3.91